(1)
Entry from the Alexandria database: a relaxed CdCuAg2 crystal (PBEsol).

Results
spin magnetization = 0.000 μB/f.u.
total energy = -3.011 eV/atom
theoretical density = 10.1 Mg/m³

Structure (POSCAR):
```
CdCuAg2
1.0
-2.441 -0.392 3.099
0.382 -3.941 -0.198
3.196 0.182 2.540
Cd Cu Ag
1 1 2
Direct
0.500 0.500 0.500
0.000 0.000 0.500
0.000 0.500 0.000
0.500 0.000 0.000
```

***

(2)
Entry from the Alexandria database: a relaxed CdCuAg2 crystal (PBEsol).

Results
spin magnetization = 0.000 μB/f.u.
total energy = -3.005 eV/atom
theoretical density = 10.1 Mg/m³

Structure (POSCAR):
```
CdCuAg2
1.0
3.281 0.000 0.000
0.000 4.445 0.000
-1.640 -2.222 4.410
Cu Cd Ag
1 1 2
Direct
0.000 0.500 0.000
0.500 0.000 0.000
0.733 0.733 0.466
0.267 0.267 0.534
```

***

(3)
Entry from the Alexandria database: a relaxed CdCu2Ag crystal (PBEsol).

Results
spin magnetization = 0.000 μB/f.u.
total energy = -3.256 eV/atom
theoretical density = 9.8 Mg/m³

Structure (POSCAR):
```
CdCu2Ag
1.0
2.967 0.000 0.000
0.000 2.967 0.000
0.000 0.000 6.666
Cu Cd Ag
2 1 1
Direct
0.500 0.500 0.224
0.000 0.000 0.034
0.500 0.500 0.773
0.000 0.000 0.469
```